Model one:
Density functional theory data (GGA-PBE) for a relaxed structure of Ce2NdDy.

Calculated values
The density of states at the Fermi level is 2.596 states/eV per atom. Its magnetic moment is 1.63 μB/f.u. Its density is 7.82 Mg/m³.

Cell: 4.931 4.931 5.122 Å, 90.00 90.00 90.00°
Element x y z (fractional)
Ce (0.000, 0.500, 0.000)
Ce (0.500, 0.000, 0.000)
Nd (0.000, 0.000, 0.500)
Dy (0.500, 0.500, 0.500)

Model two:
Density functional theory data (GGA-PBE) for a relaxed structure of Ce2NdDy.

Calculated values
The density of states at the Fermi level is 2.686 states/eV per atom. Its magnetic moment is 1.56 μB/f.u. Its density is 7.81 Mg/m³.

Cell: 3.490 3.490 10.248 Å, 90.00 90.00 90.00°
Element x y z (fractional)
Ce (0.000, 0.000, 0.247)
Ce (0.000, 0.000, 0.753)
Nd (0.500, 0.500, 0.500)
Dy (0.500, 0.500, 0.000)

Stability verdict: model one, ahead by 0.5 kJ/mol of atoms

Model one:
Density functional theory data (GGA-PBE) for a relaxed structure of CeNdDy.

Calculated values
The density of states at the Fermi level is 2.274 states/eV per atom. Its magnetic moment is 0.55 μB/f.u. Its density is 7.78 Mg/m³.

Cell: 3.551 3.551 8.741 Å, 90.00 90.00 120.00°
Element x y z (fractional)
Ce (0.000, 0.000, 0.000)
Nd (0.667, 0.333, 0.331)
Dy (0.333, 0.667, 0.678)

Model two:
Density functional theory data (GGA-PBE) for a relaxed structure of CeNdDy.

Calculated values
The density of states at the Fermi level is 1.824 states/eV per atom. Its magnetic moment is 0.00 μB/f.u. Its density is 7.58 Mg/m³.

Cell: 4.786 4.786 8.551 Å, 90.00 90.00 90.00°
Element x y z (fractional)
Ce (0.250, 0.750, 0.000)
Ce (0.750, 0.250, 0.000)
Nd (0.250, 0.250, 0.285)
Nd (0.750, 0.750, 0.715)
Dy (0.250, 0.250, 0.692)
Dy (0.750, 0.750, 0.308)

Stability verdict: model one, ahead by 15.7 kJ/mol of atoms

Model one:
Density functional theory data (GGA-PBE) for a relaxed structure of CeNdDy6.

Calculated values
The density of states at the Fermi level is 2.014 states/eV per atom. Its magnetic moment is 1.40 μB/f.u. Its density is 8.19 Mg/m³.

Cell: 6.510 6.588 7.478 Å, 114.95 115.70 90.02°
Element x y z (fractional)
Ce (0.000, 0.000, 0.000)
Nd (0.500, 0.000, 0.000)
Dy (0.231, 0.912, 0.462)
Dy (0.249, 0.500, 0.000)
Dy (0.260, 0.439, 0.520)
Dy (0.740, 0.561, 0.480)
Dy (0.751, 0.500, 0.000)
Dy (0.769, 0.088, 0.538)

Model two:
Density functional theory data (GGA-PBE) for a relaxed structure of CeNdDy6.

Calculated values
The density of states at the Fermi level is 1.508 states/eV per atom. Its magnetic moment is 0.81 μB/f.u. Its density is 8.22 Mg/m³.

Cell: 5.030 5.030 10.049 Å, 90.00 90.00 90.00°
Element x y z (fractional)
Ce (0.000, 0.000, 0.000)
Nd (0.000, 0.000, 0.500)
Dy (0.000, 0.500, 0.246)
Dy (0.000, 0.500, 0.754)
Dy (0.500, 0.000, 0.246)
Dy (0.500, 0.000, 0.754)
Dy (0.500, 0.500, 0.000)
Dy (0.500, 0.500, 0.500)

Stability verdict: model two, ahead by 16.4 kJ/mol of atoms

Model one:
Density functional theory data (GGA-PBE) for a relaxed structure of Ce3DyNi8.

Calculated values
The density of states at the Fermi level is 1.454 states/eV per atom. Its magnetic moment is 0.00 μB/f.u. Its density is 9.40 Mg/m³.

Cell: 5.049 5.049 8.420 Å, 90.00 90.00 120.00°
Element x y z (fractional)
Ce (0.000, 0.000, 0.000)
Ce (0.000, 0.000, 0.384)
Ce (0.333, 0.667, 0.892)
Dy (0.333, 0.667, 0.514)
Ni (0.341, 0.170, 0.698)
Ni (0.503, 0.005, 0.202)
Ni (0.503, 0.497, 0.202)
Ni (0.667, 0.333, 0.450)
Ni (0.667, 0.333, 0.954)
Ni (0.830, 0.170, 0.698)
Ni (0.830, 0.659, 0.698)
Ni (0.995, 0.497, 0.202)

Model two:
Density functional theory data (GGA-PBE) for a relaxed structure of Ce3DyNi8.

Calculated values
The density of states at the Fermi level is 1.252 states/eV per atom. Its magnetic moment is 0.11 μB/f.u. Its density is 9.43 Mg/m³.

Cell: 8.787 8.787 8.787 Å, 33.62 33.62 33.62°
Element x y z (fractional)
Ce (0.000, 0.000, 0.000)
Ce (0.123, 0.123, 0.123)
Ce (0.632, 0.632, 0.632)
Dy (0.505, 0.505, 0.505)
Ni (0.066, 0.066, 0.562)
Ni (0.066, 0.562, 0.066)
Ni (0.069, 0.565, 0.565)
Ni (0.316, 0.316, 0.316)
Ni (0.562, 0.066, 0.066)
Ni (0.565, 0.069, 0.565)
Ni (0.565, 0.565, 0.069)
Ni (0.816, 0.816, 0.816)

Stability verdict: model two, ahead by 1.5 kJ/mol of atoms

Model one:
Density functional theory data (GGA-PBE) for a relaxed structure of CeDyTlOs.

Calculated values
The density of states at the Fermi level is 1.405 states/eV per atom. Its magnetic moment is 0.49 μB/f.u. Its density is 12.14 Mg/m³.

Cell: 5.128 5.128 5.128 Å, 60.00 60.00 60.00°
Element x y z (fractional)
Ce (0.000, 0.000, 0.000)
Dy (0.500, 0.500, 0.500)
Tl (0.750, 0.750, 0.750)
Os (0.250, 0.250, 0.250)

Model two:
Density functional theory data (GGA-PBE) for a relaxed structure of CeDyTlOs.

Calculated values
The density of states at the Fermi level is 0.898 states/eV per atom. Its magnetic moment is 0.27 μB/f.u. Its density is 11.94 Mg/m³.

Cell: 3.375 3.375 8.515 Å, 90.00 90.00 90.00°
Element x y z (fractional)
Ce (0.000, 0.000, 0.000)
Dy (0.000, 0.000, 0.407)
Tl (0.500, 0.500, 0.698)
Os (0.500, 0.500, 0.205)

Stability verdict: model two, ahead by 22.3 kJ/mol of atoms

Model one:
Density functional theory data (GGA-PBE) for a relaxed structure of CeDyP2.

Calculated values
The density of states at the Fermi level is 1.026 states/eV per atom. Its magnetic moment is 0.39 μB/f.u. Its density is 6.50 Mg/m³.

Cell: 4.035 4.035 13.210 Å, 90.00 90.00 120.00°
Element x y z (fractional)
Ce (0.000, 0.000, 0.000)
Ce (0.000, 0.000, 0.500)
Dy (0.333, 0.667, 0.250)
Dy (0.667, 0.333, 0.750)
P (0.333, 0.667, 0.625)
P (0.333, 0.667, 0.875)
P (0.667, 0.333, 0.125)
P (0.667, 0.333, 0.375)

Model two:
Density functional theory data (GGA-PBE) for a relaxed structure of CeDyP2.

Calculated values
The density of states at the Fermi level is 1.317 states/eV per atom. Its magnetic moment is 0.86 μB/f.u. Its density is 6.32 Mg/m³.

Cell: 7.354 7.354 7.354 Å, 31.38 31.38 31.38°
Element x y z (fractional)
Ce (0.000, 0.000, 0.000)
Dy (0.828, 0.828, 0.828)
P (0.245, 0.245, 0.245)
P (0.417, 0.417, 0.417)

Stability verdict: model one, ahead by 11.4 kJ/mol of atoms